## LaWN2O (PBE+U)

Data for a relaxed LaWN2O crystal.

Lattice parameters (Å, degrees): 4.059 4.059 3.994 90.00 90.00 90.00
Space group P4/mmm (No. 123)
Unique sites:
La 0.000 0.000 0.000 (multiplicity 1)
W 0.500 0.500 0.500 (multiplicity 1)
N 0.000 0.500 0.500 (multiplicity 2)
O 0.500 0.500 0.000 (multiplicity 1)

Calculated values
DOS(E_F)   0.91 states/eV per cell
Calculated total energy   -0.2978 hartree per atom
Magnetization   0.38 μB/f.u.